(1)
# RbBeTlCl4 PBE relaxed
# DOS(E_F) = 0.00 states/eV per cell
# Final energy = -50.154 eV for the cell shown
data_RbBeTlCl4
_space_group_name_H-M_alt 'P 1'
_space_group_IT_number 1
_space_group_name_Hall 'P 1'
_cell_length_a 6.908
_cell_length_b 6.885
_cell_length_c 9.431
_cell_angle_alpha 90.00
_cell_angle_beta 105.38
_cell_angle_gamma 90.00
loop_
_atom_site_label
_atom_site_type_symbol
_atom_site_fract_x
_atom_site_fract_y
_atom_site_fract_z
_atom_site_occupancy
Rb1 Rb 0.220 0.250 0.035 1
Rb2 Rb 0.780 0.750 0.965 1
Be1 Be 0.190 0.750 0.772 1
Be2 Be 0.810 0.250 0.228 1
Tl1 Tl 0.269 0.250 0.553 1
Tl2 Tl 0.731 0.750 0.447 1
Cl1 Cl 0.007 0.512 0.716 1
Cl2 Cl 0.007 0.988 0.716 1
Cl3 Cl 0.307 0.750 0.994 1
Cl4 Cl 0.403 0.750 0.660 1
Cl5 Cl 0.597 0.250 0.340 1
Cl6 Cl 0.693 0.250 0.006 1
Cl7 Cl 0.993 0.012 0.284 1
Cl8 Cl 0.993 0.488 0.284 1



(2)
# RbBe2TlCl6 PBE relaxed
# DOS(E_F) = 0.00 states/eV per cell
# Final energy = -72.917 eV for the cell shown
data_RbBe2TlCl6
_space_group_name_H-M_alt 'P 1'
_space_group_IT_number 1
_space_group_name_Hall 'P 1'
_cell_length_a 8.908
_cell_length_b 8.908
_cell_length_c 8.941
_cell_angle_alpha 104.96
_cell_angle_beta 104.96
_cell_angle_gamma 90.91
loop_
_atom_site_label
_atom_site_type_symbol
_atom_site_fract_x
_atom_site_fract_y
_atom_site_fract_z
_atom_site_occupancy
Rb1 Rb 0.140 0.860 0.750 1
Rb2 Rb 0.860 0.140 0.250 1
Be1 Be 0.125 0.348 0.688 1
Be2 Be 0.348 0.125 0.188 1
Be3 Be 0.652 0.875 0.812 1
Be4 Be 0.875 0.652 0.312 1
Tl1 Tl 0.408 0.592 0.250 1
Tl2 Tl 0.592 0.408 0.750 1
Cl1 Cl 0.092 0.615 0.375 1
Cl2 Cl 0.162 0.198 0.079 1
Cl3 Cl 0.198 0.162 0.579 1
Cl4 Cl 0.271 0.509 0.850 1
Cl5 Cl 0.385 0.908 0.125 1
Cl6 Cl 0.491 0.729 0.650 1
Cl7 Cl 0.509 0.271 0.350 1
Cl8 Cl 0.615 0.092 0.875 1
Cl9 Cl 0.729 0.491 0.150 1
Cl10 Cl 0.802 0.838 0.421 1
Cl11 Cl 0.838 0.802 0.921 1
Cl12 Cl 0.908 0.385 0.625 1



(3)
# RbTmBe2Cl8 PBE relaxed
# DOS(E_F) = 0.00 states/eV per cell
# Final energy = -49.149 eV for the cell shown
data_RbTmBe2Cl8
_space_group_name_H-M_alt 'P 1'
_space_group_IT_number 1
_space_group_name_Hall 'P 1'
_cell_length_a 10.501
_cell_length_b 10.501
_cell_length_c 10.501
_cell_angle_alpha 34.34
_cell_angle_beta 34.34
_cell_angle_gamma 34.34
loop_
_atom_site_label
_atom_site_type_symbol
_atom_site_fract_x
_atom_site_fract_y
_atom_site_fract_z
_atom_site_occupancy
Rb1 Rb 0.000 0.000 0.000 1
Tm1 Tm 0.500 0.500 0.500 1
Be1 Be 0.244 0.244 0.244 1
Be2 Be 0.756 0.756 0.756 1
Cl1 Cl 0.096 0.470 0.776 1
Cl2 Cl 0.224 0.904 0.530 1
Cl3 Cl 0.309 0.309 0.309 1
Cl4 Cl 0.470 0.776 0.096 1
Cl5 Cl 0.530 0.224 0.904 1
Cl6 Cl 0.691 0.691 0.691 1
Cl7 Cl 0.776 0.096 0.470 1
Cl8 Cl 0.904 0.530 0.224 1



(4)
# RbBe2VCl8 PBE relaxed
# DOS(E_F) = 4.58 states/eV per cell
# Final energy = -49.297 eV for the cell shown
data_RbBe2VCl8
_space_group_name_H-M_alt 'P 1'
_space_group_IT_number 1
_space_group_name_Hall 'P 1'
_cell_length_a 10.419
_cell_length_b 10.419
_cell_length_c 10.419
_cell_angle_alpha 33.38
_cell_angle_beta 33.38
_cell_angle_gamma 33.38
loop_
_atom_site_label
_atom_site_type_symbol
_atom_site_fract_x
_atom_site_fract_y
_atom_site_fract_z
_atom_site_occupancy
Rb1 Rb 0.000 0.000 0.000 1
Be1 Be 0.237 0.237 0.237 1
Be2 Be 0.763 0.763 0.763 1
V1 V 0.500 0.500 0.500 1
Cl1 Cl 0.120 0.467 0.770 1
Cl2 Cl 0.230 0.880 0.533 1
Cl3 Cl 0.303 0.303 0.303 1
Cl4 Cl 0.467 0.770 0.120 1
Cl5 Cl 0.533 0.230 0.880 1
Cl6 Cl 0.697 0.697 0.697 1
Cl7 Cl 0.770 0.120 0.467 1
Cl8 Cl 0.880 0.533 0.230 1



(5)
# Rb2BeVCl6 PBE relaxed
# DOS(E_F) = 0.00 states/eV per cell
# Final energy = -39.816 eV for the cell shown
data_Rb2BeVCl6
_space_group_name_H-M_alt 'P 1'
_space_group_IT_number 1
_space_group_name_Hall 'P 1'
_cell_length_a 7.096
_cell_length_b 7.096
_cell_length_c 7.096
_cell_angle_alpha 123.32
_cell_angle_beta 123.32
_cell_angle_gamma 84.34
loop_
_atom_site_label
_atom_site_type_symbol
_atom_site_fract_x
_atom_site_fract_y
_atom_site_fract_z
_atom_site_occupancy
Rb1 Rb 0.250 0.750 0.500 1
Rb2 Rb 0.750 0.250 0.500 1
Be1 Be 0.000 0.000 0.000 1
V1 V 0.500 0.500 0.000 1
Cl1 Cl 0.232 0.232 0.463 1
Cl2 Cl 0.232 0.768 0.000 1
Cl3 Cl 0.266 0.266 0.000 1
Cl4 Cl 0.734 0.734 0.000 1
Cl5 Cl 0.768 0.232 0.000 1
Cl6 Cl 0.768 0.768 0.537 1



(6)
# Rb2BeWCl6 PBE relaxed
# DOS(E_F) = 0.23 states/eV per cell
# Final energy = -39.479 eV for the cell shown
data_Rb2BeWCl6
_space_group_name_H-M_alt 'P 1'
_space_group_IT_number 1
_space_group_name_Hall 'P 1'
_cell_length_a 7.255
_cell_length_b 7.255
_cell_length_c 7.255
_cell_angle_alpha 123.37
_cell_angle_beta 123.37
_cell_angle_gamma 84.26
loop_
_atom_site_label
_atom_site_type_symbol
_atom_site_fract_x
_atom_site_fract_y
_atom_site_fract_z
_atom_site_occupancy
Rb1 Rb 0.250 0.750 0.500 1
Rb2 Rb 0.750 0.250 0.500 1
Be1 Be 0.000 0.000 0.000 1
W1 W 0.500 0.500 0.000 1
Cl1 Cl 0.231 0.231 0.461 1
Cl2 Cl 0.231 0.769 0.000 1
Cl3 Cl 0.272 0.272 0.000 1
Cl4 Cl 0.728 0.728 0.000 1
Cl5 Cl 0.769 0.231 0.000 1
Cl6 Cl 0.769 0.769 0.539 1